Record 1
Density functional theory data (PBEsol) for an optimized crystal structure of FeHgOs.

a b c (Å): 4.271 4.271 4.271
angles (deg): 60.00 60.00 60.00
Atoms (fractional coordinates):
Fe  0.000  0.000  0.000
Hg  0.500  0.500  0.500
Os  0.250  0.250  0.250

Magnetization in μB per formula unit: 3.690
Uncorrected energy in eV per atom: -6.042
SG: No. 216

Record 2
Density functional theory data (PBEsol) for an optimized crystal structure of CaMg3.

a b c (Å): 5.242 5.242 5.242
angles (deg): 60.00 60.00 60.00
Atoms (fractional coordinates):
Ca  0.000  0.000  0.000
Mg  0.250  0.250  0.250
Mg  0.500  0.500  0.500
Mg  0.750  0.750  0.750

Magnetization in μB per formula unit: 0.000
Uncorrected energy in eV per atom: -1.884
SG: No. 225

Record 3
Density functional theory data (PBEsol) for an optimized crystal structure of Na3DyCl6.

a b c (Å): 6.771 7.250 11.990
angles (deg): 90.00 123.27 90.00
Atoms (fractional coordinates):
Na  0.000  0.000  0.000
Na  0.000  0.500  0.500
Na  0.210  0.082  0.741
Na  0.210  0.418  0.241
Na  0.790  0.582  0.759
Na  0.790  0.918  0.259
Dy  0.500  0.000  0.500
Dy  0.500  0.500  0.000
Cl  0.120  0.182  0.434
Cl  0.120  0.318  0.934
Cl  0.246  0.698  0.418
Cl  0.246  0.802  0.918
Cl  0.406  0.067  0.260
Cl  0.406  0.433  0.760
Cl  0.594  0.567  0.240
Cl  0.594  0.933  0.740
Cl  0.754  0.198  0.082
Cl  0.754  0.302  0.582
Cl  0.880  0.682  0.066
Cl  0.880  0.818  0.566

ΔE_f (raw) in eV/atom: -1.99
Magnetization in μB per formula unit: 0.001
Uncorrected energy in eV per atom: -4.109
SG: No. 14

Record 4
Density functional theory data (PBEsol) for an optimized crystal structure of BaTlSn3.

a b c (Å): 5.674 5.674 5.674
angles (deg): 90.00 90.00 90.00
Atoms (fractional coordinates):
Ba  0.000  0.000  0.000
Tl  0.500  0.500  0.500
Sn  0.000  0.500  0.500
Sn  0.500  0.000  0.500
Sn  0.500  0.500  0.000

Magnetization in μB per formula unit: 0.000
Uncorrected energy in eV per atom: -3.372
SG: No. 221

Record 5
Density functional theory data (PBEsol) for an optimized crystal structure of ZrBiBCl2.

a b c (Å): 4.344 4.344 5.195
angles (deg): 90.00 90.00 90.00
Atoms (fractional coordinates):
Zr  0.000  0.000  0.000
Bi  0.500  0.500  0.000
B  0.500  0.500  0.500
Cl  0.000  0.500  0.500
Cl  0.500  0.000  0.500

ΔE_f (raw) in eV/atom: 0.42
Magnetization in μB per formula unit: 0.477
Uncorrected energy in eV per atom: -4.463
SG: No. 123

Record 6
Density functional theory data (PBEsol) for an optimized crystal structure of RbBAsN2.

a b c (Å): 3.725 3.725 4.623
angles (deg): 90.00 90.00 90.00
Atoms (fractional coordinates):
Rb  0.000  0.000  0.000
B  0.000  0.000  0.500
As  0.500  0.500  0.000
N  0.000  0.500  0.500
N  0.500  0.000  0.500

ΔE_f (raw) in eV/atom: 2.08
Magnetization in μB per formula unit: 0.001
Uncorrected energy in eV per atom: -3.962
SG: No. 123

Record 7
Density functional theory data (PBEsol) for an optimized crystal structure of Li2As2P.

a b c (Å): 7.519 7.519 2.745
angles (deg): 90.00 90.00 90.00
Atoms (fractional coordinates):
Li  0.114  0.386  0.000
Li  0.386  0.886  0.000
Li  0.614  0.114  0.000
Li  0.886  0.614  0.000
As  0.187  0.687  0.500
As  0.313  0.187  0.500
As  0.687  0.813  0.500
As  0.813  0.313  0.500
P  0.000  0.000  0.500
P  0.500  0.500  0.500

Magnetization in μB per formula unit: 0.000
Uncorrected energy in eV per atom: -4.197
SG: No. 127

Record 8
Density functional theory data (PBEsol) for an optimized crystal structure of KPuO3.

a b c (Å): 4.225 4.225 4.225
angles (deg): 90.00 90.00 90.00
Atoms (fractional coordinates):
K  0.000  0.000  0.000
Pu  0.500  0.500  0.500
O  0.000  0.500  0.500
O  0.500  0.000  0.500
O  0.500  0.500  0.000

ΔE_f (raw) in eV/atom: -2.54
Magnetization in μB per formula unit: 3.000
Uncorrected energy in eV per atom: -8.947
SG: No. 221

Record 9
Density functional theory data (PBEsol) for an optimized crystal structure of Ti2MnZnO6.

a b c (Å): 5.495 5.495 5.495
angles (deg): 55.08 55.08 55.08
Atoms (fractional coordinates):
Ti  0.000  0.000  0.000
Ti  0.293  0.293  0.293
Mn  0.504  0.504  0.504
Zn  0.786  0.786  0.786
O  0.098  0.709  0.373
O  0.197  0.586  0.922
O  0.373  0.098  0.709
O  0.586  0.922  0.197
O  0.709  0.373  0.098
O  0.922  0.197  0.586

ΔE_f (raw) in eV/atom: -2.39
Magnetization in μB per formula unit: 5.000
Uncorrected energy in eV per atom: -8.343
SG: No. 146

Record 10
Density functional theory data (PBEsol) for an optimized crystal structure of CaZrAg2Pt.

a b c (Å): 5.142 5.142 4.794
angles (deg): 90.00 90.00 90.00
Atoms (fractional coordinates):
Ca  0.000  0.000  0.000
Zr  0.500  0.500  0.000
Ag  0.000  0.500  0.500
Ag  0.500  0.000  0.500
Pt  0.500  0.500  0.500

Magnetization in μB per formula unit: 0.323
Uncorrected energy in eV per atom: -4.767
SG: No. 123

Record 11
Density functional theory data (PBEsol) for an optimized crystal structure of ZrSc2Be.

a b c (Å): 3.159 3.159 7.761
angles (deg): 90.00 90.00 90.00
Atoms (fractional coordinates):
Zr  0.000  0.000  0.000
Sc  0.000  0.000  0.404
Sc  0.500  0.500  0.718
Be  0.500  0.500  0.205

Magnetization in μB per formula unit: 0.000
Uncorrected energy in eV per atom: -6.564
SG: No. 99

Record 12
Density functional theory data (PBEsol) for an optimized crystal structure of InIrS2.

a b c (Å): 6.671 6.671 6.671
angles (deg): 127.84 127.84 76.89
Atoms (fractional coordinates):
In  0.000  0.000  0.000
In  0.750  0.250  0.500
Ir  0.250  0.750  0.500
Ir  0.500  0.500  0.000
S  0.188  0.625  0.063
S  0.375  0.438  0.563
S  0.562  0.125  0.937
S  0.875  0.812  0.437

ΔE_f (raw) in eV/atom: -0.08
Magnetization in μB per formula unit: 0.000
Uncorrected energy in eV per atom: -5.473
SG: No. 122

Record 13
Density functional theory data (PBEsol) for an optimized crystal structure of Nb4Si7Ni4.

a b c (Å): 9.206 9.206 9.206
angles (deg): 94.18 94.18 148.69
Atoms (fractional coordinates):
Nb  0.000  0.192  0.192
Nb  0.000  0.808  0.808
Nb  0.192  0.000  0.192
Nb  0.365  0.365  0.730
Nb  0.365  0.635  0.000
Nb  0.635  0.365  0.000
Nb  0.635  0.635  0.270
Nb  0.808  0.000  0.808
Si  0.000  0.407  0.407
Si  0.000  0.593  0.593
Si  0.208  0.208  0.416
Si  0.208  0.500  0.708
Si  0.208  0.792  0.000
Si  0.251  0.251  0.000
Si  0.407  0.000  0.407
Si  0.500  0.208  0.708
Si  0.500  0.792  0.292
Si  0.593  0.000  0.593
Si  0.749  0.749  0.000
Si  0.792  0.208  0.000
Si  0.792  0.500  0.292
Si  0.792  0.792  0.584
Ni  0.102  0.602  0.204
Ni  0.102  0.898  0.500
Ni  0.398  0.602  0.500
Ni  0.398  0.898  0.796
Ni  0.602  0.102  0.204
Ni  0.602  0.398  0.500
Ni  0.898  0.102  0.500
Ni  0.898  0.398  0.796

ΔE_f (raw) in eV/atom: -0.73
Magnetization in μB per formula unit: 0.000
Uncorrected energy in eV per atom: -7.936
SG: No. 139

Record 14
Density functional theory data (PBEsol) for an optimized crystal structure of Y2NiW.

a b c (Å): 4.718 4.718 4.718
angles (deg): 60.00 60.00 60.00
Atoms (fractional coordinates):
Y  0.000  0.000  0.000
Y  0.250  0.250  0.250
Ni  0.750  0.750  0.750
W  0.500  0.500  0.500

Magnetization in μB per formula unit: 0.001
Uncorrected energy in eV per atom: -7.823
SG: No. 216

Record 15
Density functional theory data (PBEsol) for an optimized crystal structure of Mg2ScZn.

a b c (Å): 3.961 4.323 4.605
angles (deg): 90.00 90.00 90.00
Atoms (fractional coordinates):
Mg  0.000  0.000  0.000
Mg  0.500  0.500  0.000
Sc  0.000  0.500  0.500
Zn  0.500  0.000  0.500

Magnetization in μB per formula unit: 0.001
Uncorrected energy in eV per atom: -3.025
SG: No. 47

Record 16
Density functional theory data (PBEsol) for an optimized crystal structure of Nd3S3N.

a b c (Å): 11.982 4.010 12.873
angles (deg): 90.00 90.00 90.00
Atoms (fractional coordinates):
Nd  0.037  0.250  0.150
Nd  0.090  0.250  0.625
Nd  0.227  0.250  0.868
Nd  0.273  0.750  0.368
Nd  0.410  0.750  0.125
Nd  0.463  0.750  0.650
Nd  0.537  0.250  0.350
Nd  0.590  0.250  0.875
Nd  0.727  0.250  0.632
Nd  0.773  0.750  0.132
Nd  0.910  0.750  0.375
Nd  0.963  0.750  0.850
S  0.077  0.250  0.392
S  0.143  0.750  0.000
S  0.233  0.750  0.701
S  0.267  0.250  0.201
S  0.357  0.250  0.500
S  0.423  0.750  0.892
S  0.577  0.250  0.108
S  0.643  0.750  0.500
S  0.733  0.750  0.799
S  0.767  0.250  0.299
S  0.857  0.250  0.000
S  0.923  0.750  0.608
N  0.050  0.250  0.798
N  0.450  0.750  0.298
N  0.550  0.250  0.702
N  0.950  0.750  0.202

ΔE_f (raw) in eV/atom: -1.97
Magnetization in μB per formula unit: 0.000
Uncorrected energy in eV per atom: -7.286
SG: No. 62

Record 17
Density functional theory data (PBEsol) for an optimized crystal structure of Sc2MoBr.

a b c (Å): 3.062 3.062 9.403
angles (deg): 90.00 90.00 108.42
Atoms (fractional coordinates):
Sc  0.000  0.000  0.000
Sc  0.500  0.500  0.275
Mo  0.000  0.000  0.488
Br  0.500  0.500  0.794

ΔE_f (raw) in eV/atom: 0.19
Magnetization in μB per formula unit: 0.001
Uncorrected energy in eV per atom: -6.527
SG: No. 35

Record 18
Density functional theory data (PBEsol) for an optimized crystal structure of Sc2AlSi2.

a b c (Å): 6.545 6.545 3.960
angles (deg): 90.00 90.00 90.00
Atoms (fractional coordinates):
Sc  0.175  0.325  0.000
Sc  0.325  0.825  0.000
Sc  0.675  0.175  0.000
Sc  0.825  0.675  0.000
Al  0.000  0.000  0.500
Al  0.500  0.500  0.500
Si  0.127  0.627  0.500
Si  0.373  0.127  0.500
Si  0.627  0.873  0.500
Si  0.873  0.373  0.500

ΔE_f (raw) in eV/atom: -0.77
Magnetization in μB per formula unit: 0.000
Uncorrected energy in eV per atom: -6.530
SG: No. 127

Record 19
Density functional theory data (PBEsol) for an optimized crystal structure of SrBeSb3.

a b c (Å): 5.066 5.066 5.066
angles (deg): 90.00 90.00 90.00
Atoms (fractional coordinates):
Sr  0.000  0.000  0.000
Be  0.500  0.500  0.500
Sb  0.000  0.500  0.500
Sb  0.500  0.000  0.500
Sb  0.500  0.500  0.000

ΔE_f (raw) in eV/atom: -0.07
Magnetization in μB per formula unit: 0.000
Uncorrected energy in eV per atom: -3.973
SG: No. 221

Record 20
Density functional theory data (PBEsol) for an optimized crystal structure of Ca2YCu.

a b c (Å): 6.619 6.619 5.588
angles (deg): 114.95 114.95 31.42
Atoms (fractional coordinates):
Ca  0.000  0.000  0.000
Ca  0.194  0.194  0.694
Y  0.386  0.386  0.386
Cu  0.703  0.703  0.202

Magnetization in μB per formula unit: 0.000
Uncorrected energy in eV per atom: -3.786
SG: No. 8